Entry 1:
HoOF: optimized geometry, GGA-PBEsol.

Output
- formation energy (no corrections) (meV/atom) = -3971
- electronic total energy (eV per atom) = -8.014
- space-group type = R-3m (166)

Unit cell a=3.7479 b=3.7479 c=6.5882 alpha=73.47 beta=73.47 gamma=60.00
Element x y z (fractional)
Ho  0.2587  0.2587  0.2240
Ho  0.7413  0.7413  0.7760
O  0.3785  0.3785  0.8646
O  0.6215  0.6215  0.1354
F  0.1301  0.1301  0.6096
F  0.8699  0.8699  0.3904

=====

Entry 2:
TlAg2Se2: optimized geometry, GGA-PBEsol.

Output
- formation energy (no corrections) (meV/atom) = 122
- energy above the most stable polymorph in this dataset (eV per formula unit) = 1.18
- electronic total energy (eV per atom) = -3.268
- space-group type = I4/mmm (139)

Unit cell a=4.1290 b=4.1290 c=7.0545 alpha=107.02 beta=107.02 gamma=90.00
Element x y z (fractional)
Tl  0.0000  0.0000  0.0000
Se  0.2500  0.7500  0.5000
Se  0.7500  0.2500  0.5000
Ag  0.3968  0.3968  0.7935
Ag  0.6032  0.6032  0.2065

=====

Entry 3:
CaAs3Cl: optimized geometry, GGA-PBEsol.

Output
- formation energy (no corrections) (meV/atom) = 879
- electronic total energy (eV per atom) = -3.014
- space-group type = Pm-3m (221)

Unit cell a=5.2994 b=5.2994 c=5.2994 alpha=90.00 beta=90.00 gamma=90.00
Element x y z (fractional)
As  0.0000  0.5000  0.0000
As  0.0000  0.0000  0.5000
As  0.5000  0.0000  0.0000
Ca  0.0000  0.0000  0.0000
Cl  0.5000  0.5000  0.5000

=====

Entry 4:
La2ScP2: optimized geometry, GGA-PBEsol.

Output
- ΔH_f (0 K) (kJ/mol of formula units) = -219.9
- energy above the most stable polymorph in this dataset (eV per formula unit) = 3.95
- electronic total energy (eV per atom) = -6.232
- space-group type = I4/mmm (139)

Unit cell a=5.3899 b=5.3899 c=6.1960 alpha=115.78 beta=115.78 gamma=90.00
Each line ends with the local moment (μB).
Element x y z (fractional)
La  0.6721  0.6721  0.3441  0.08
La  0.3279  0.3279  0.6559  0.08
P  0.2500  0.7500  0.5000  -0.02
P  0.7500  0.2500  0.5000  -0.02
Sc  0.0000  0.0000  0.0000  0.54

=====

Entry 5:
PIrRu: optimized geometry, GGA-PBEsol.

Output
- ΔH_f (0 K) (kJ/mol of formula units) = -112.0
- electronic total energy (eV per atom) = -8.983
- space-group type = F-43m (216)

Unit cell a=3.8955 b=3.8955 c=3.8955 alpha=60.00 beta=60.00 gamma=60.00
Element x y z (fractional)
Ru  0.0000  0.0000  0.0000
Ir  0.5000  0.5000  0.5000
P  0.2500  0.2500  0.2500

=====

Entry 6:
K2LaPb: optimized geometry, GGA-PBEsol.

Output
- ΔH_f (0 K) (kJ/mol of formula units) = 30.4
- electronic total energy (eV per atom) = -2.824
- space-group type = P2/m (10)

Unit cell a=4.0775 b=5.5897 c=6.7993 alpha=90.00 beta=90.00 gamma=92.51
Element x y z (fractional)
K  0.2744  0.2284  0.0000
K  0.7256  0.7716  0.0000
La  0.0000  0.5000  0.5000
Pb  0.5000  0.0000  0.5000